# Er3PuSc3, optimized geometry, DFT PBE-GGA
data_Er3PuSc3
_chemical_formula_sum 'Er6 Pu2 Sc6'
_symmetry_space_group_name_H-M 'P 1'
_symmetry_Int_Tables_number 1
_symmetry_space_group_name_Hall 'P 1'
_cell_length_a 6.347
_cell_length_b 6.404
_cell_length_c 14.937
_cell_angle_alpha 93.87
_cell_angle_beta 60.87
_cell_angle_gamma 55.33
loop_
_atom_site_label
_atom_site_type_symbol
_atom_site_fract_x
_atom_site_fract_y
_atom_site_fract_z
_atom_site_occupancy
Sc1 Sc 0.818 0.442 0.599 1
Sc2 Sc 0.507 0.736 0.467 1
Sc3 Sc 0.789 0.966 0.671 1
Sc4 Sc 0.182 0.558 0.401 1
Sc5 Sc 0.493 0.264 0.533 1
Sc6 Sc 0.211 0.034 0.329 1
Er1 Er 0.912 0.837 0.258 1
Er2 Er 0.088 0.163 0.742 1
Er3 Er 0.916 0.323 0.186 1
Er4 Er 0.623 0.112 0.109 1
Er5 Er 0.084 0.677 0.814 1
Er6 Er 0.377 0.888 0.891 1
Pu1 Pu 0.339 0.416 0.968 1
Pu2 Pu 0.661 0.584 0.032 1
# uncorrected energy: -6.6589 eV/atom
# DOS(E_F): 2.305 states/eV per atom
# spin magnetization: 11.60 μB per cell
# energy relative to the elements: 0.058 eV/atom
# V: 27.3 Å³ per atom